DFT (GGA-PBE) results for an optimized crystal structure of BaReCl2.

Cell lengths 7.1299, 7.1299, 7.1299 Å; angles 145.87, 141.17, 52.64 degrees
With the nearest neighbours (Å) after each atom.
Element x y z (fractional)
1 Re 0.4778 0.4778 0.0000  6 Cl 3.25-3.62
2 Ba 0.2212 0.7212 0.5000  6 Cl 3.15-3.21
3 Cl 0.0375 0.0375 0.0000  2 Ba 3.15, 4 Re 3.25
4 Cl 0.7635 0.2635 0.5000  4 Ba 3.21

raw formation energy = 0.06 eV/atom
final energy = -4.46 eV/atom
crystal system = orthorhombic
magnetization = 5.00 μB/cell
offset from the most stable computed form = 200 meV/atom